1.
Tm2ScPd9 | PBE | relaxed

a = 4.0693 Å, b = 4.0693 Å, c = 12.1788 Å
α = 90.00°, β = 90.00°, γ = 90.00°
Last column: nearest neighbours and their distance in Å.
Space group P4/mmm (No. 123)
One atom of each set of equivalent atoms:
Tm (0.0000, 0.0000, 0.1687) [2 per cell]  12 Pd 2.88-2.90
Sc (0.0000, 0.0000, 0.5000) [1 per cell]  12 Pd 2.83-2.88
Pd (0.0000, 0.5000, 0.0000) [2 per cell]  8 Pd 2.88-2.90, 4 Tm 2.89
Pd (0.0000, 0.5000, 0.3388) [4 per cell]  2 Sc 2.83, 8 Pd 2.83-2.90, 2 Tm 2.90
Pd (0.5000, 0.5000, 0.1695) [2 per cell]  4 Tm 2.88, 8 Pd 2.90
Pd (0.5000, 0.5000, 0.5000) [1 per cell]  8 Pd 2.83, 4 Sc 2.88

## Properties
Final energy   -6.05 eV per atom
DOS at the Fermi energy   10.46 states/eV per cell
Calculated formation energy   -881 meV per atom
Volume   16.806 Å³ per atom


2.
Nd4Te2CS | PBE | relaxed

a = 7.1709 Å, b = 4.1005 Å, c = 7.6126 Å
α = 90.00°, β = 108.02°, γ = 90.00°
Last column: nearest neighbours and their distance in Å.
Space group P2/m (No. 10)
One atom of each set of equivalent atoms:
Nd (0.2139, 0.0000, 0.1983) [2 per cell]  2 C 2.72, 1 S 2.90
Nd (0.2419, 0.5000, 0.7979) [2 per cell]  1 C 2.65, 2 S 2.87
Te (0.0000, 0.0000, 0.5000) [1 per cell]  6 Nd 3.13-3.15
Te (0.5000, 0.5000, 0.5000) [1 per cell]  6 Nd 3.28-3.34
C (0.0000, 0.5000, 0.0000) [1 per cell]  6 Nd 2.65-2.72
S (0.5000, 0.0000, 0.0000) [1 per cell]  6 Nd 2.87-2.90

## Properties
Final energy   -6.12 eV per atom
DOS at the Fermi energy   3.12 states/eV per cell
Formation energy without anion corrections   -1.282 eV per atom
Volume   26.608 Å³ per atom


3.
Tb15Y4Al | PBE | relaxed

a = 4.9707 Å, b = 4.9707 Å, c = 25.1814 Å
α = 90.00°, β = 90.00°, γ = 90.00°
Last column: nearest neighbours and their distance in Å.
Space group P4/mmm (No. 123)
One atom of each set of equivalent atoms:
Tb (0.0000, 0.0000, 0.0000) [1 per cell]  8 Tb 3.42, 4 Al 3.51
Tb (0.0000, 0.0000, 0.1938) [2 per cell]  4 Y 3.52, 8 Tb 3.55-3.59
Tb (0.0000, 0.0000, 0.3978) [2 per cell]  4 Y 3.51, 8 Tb 3.56-3.58
Tb (0.0000, 0.5000, 0.0931) [4 per cell]  8 Tb 3.42-3.55, 2 Al 3.42, 2 Y 3.58
Tb (0.0000, 0.5000, 0.2966) [4 per cell]  8 Tb 3.51-3.59, 4 Y 3.56-3.57
Tb (0.0000, 0.5000, 0.5000) [2 per cell]  8 Tb 3.51-3.58, 4 Y 3.56
Y (0.5000, 0.5000, 0.1956) [2 per cell]  12 Tb 3.52-3.58
Y (0.5000, 0.5000, 0.3986) [2 per cell]  12 Tb 3.51-3.57
Al (0.5000, 0.5000, 0.0000) [1 per cell]  12 Tb 3.42-3.51

## Properties
Final energy   -4.96 eV per atom
DOS at the Fermi energy   25.00 states/eV per cell
Calculated formation energy   -11 meV per atom
Volume   31.109 Å³ per atom